# NdSm2Ho

A geometry-optimized NdSm2Ho structure (PBE, Alexandria via LeMat-Bulk).

```
4
Lattice="5.621 0.000 0.000 0.000 1.786 6.680 0.000 -1.786 6.680" Properties=species:S:1:pos:R:3 pbc="T T T"
Nd 0.000 0.000 0.000
Sm 0.000 0.000 3.429
Sm 2.811 0.000 5.108
Ho 2.811 0.000 8.609
```

Properties
ΔE to the lowest computed polymorph in meV per atom: 33.0
E in eV/atom: -4.65
Space group: No. 38
Density in g/cm3: 7.550

***

# Nd2SmHo8

A geometry-optimized Nd2SmHo8 structure (PBE, Alexandria via LeMat-Bulk).

```
11
Lattice="-2.759 4.051 8.009 2.759 -4.051 8.009 2.759 4.051 -8.009" Properties=species:S:1:pos:R:3 pbc="T T T"
Nd 0.000 0.000 3.213
Nd 0.000 0.000 12.806
Sm 0.000 0.000 8.009
Ho 2.759 1.683 -2.207
Ho 0.000 1.676 0.000
Ho 2.759 0.000 5.439
Ho 2.759 1.683 2.207
Ho 0.000 2.368 5.803
Ho 0.000 4.051 2.570
Ho 0.000 6.425 0.000
Ho 0.000 2.368 10.216
```

Properties
ΔE to the lowest computed polymorph in meV per atom: 0.0
E in eV/atom: -4.51
Space group: No. 71
Density in g/cm3: 8.153

***

# Nd6Sm7Ho16

A geometry-optimized Nd6Sm7Ho16 structure (PBE, Alexandria via LeMat-Bulk).

```
29
Lattice="0.000 7.936 7.936 7.936 0.000 7.936 7.936 7.936 0.000" Properties=species:S:1:pos:R:3 pbc="T T T"
Nd 7.936 7.936 3.725
Nd 7.936 3.725 7.936
Nd 12.147 7.936 7.936
Nd 3.725 7.936 7.936
Nd 7.936 12.147 7.936
Nd 7.936 7.936 12.147
Sm 3.968 3.968 0.000
Sm 3.968 0.000 3.968
Sm 7.936 3.968 3.968
Sm 0.000 3.968 3.968
Sm 3.968 7.936 3.968
Sm 3.968 3.968 7.936
Sm 7.936 7.936 7.936
Ho 9.987 5.885 5.885
Ho 2.381 2.381 2.381
Ho 5.555 5.555 2.381
Ho 5.555 2.381 5.555
Ho 5.885 5.885 5.885
Ho 9.987 9.987 5.885
Ho 9.987 5.885 9.987
Ho 13.491 10.318 10.318
Ho 2.381 5.555 5.555
Ho 5.885 9.987 5.885
Ho 5.885 5.885 9.987
Ho 9.987 9.987 9.987
Ho 10.318 13.491 10.318
Ho 10.318 10.318 13.491
Ho 13.491 13.491 13.491
Ho 5.885 9.987 9.987
```

Properties
E in eV/atom: -4.42
Space group: No. 225
Density in g/cm3: 7.569

***

# Nd8Sm3Ho3

A geometry-optimized Nd8Sm3Ho3 structure (PBE, Alexandria via LeMat-Bulk).

```
14
Lattice="-2.868 5.478 7.652 2.868 -5.478 7.652 2.868 5.478 -7.652" Properties=species:S:1:pos:R:3 pbc="T T T"
Nd 2.868 1.779 -1.584
Nd 2.868 3.742 -4.242
Nd 2.868 1.779 1.584
Nd 0.000 1.736 3.410
Nd 2.868 3.742 4.242
Nd 0.000 3.699 6.068
Nd 0.000 1.736 11.893
Nd 0.000 3.699 9.235
Sm 2.868 0.000 4.902
Sm 0.000 0.000 7.652
Sm 0.000 5.478 2.750
Ho 0.000 0.000 0.000
Ho 0.000 3.288 0.000
Ho 0.000 7.668 0.000
```

Properties
E in eV/atom: -4.61
Space group: No. 71
Density in g/cm3: 7.251

***

# Nd2Sm2Ho7

A geometry-optimized Nd2Sm2Ho7 structure (PBE, Alexandria via LeMat-Bulk).

```
11
Lattice="5.628 -5.802 0.000 5.628 5.802 0.000 -2.457 0.000 5.569" Properties=species:S:1:pos:R:3 pbc="T T T"
Nd 0.325 0.000 1.725
Nd 8.474 0.000 3.844
Sm 5.628 2.455 0.000
Sm 5.628 -2.455 0.000
Ho 2.884 2.760 1.801
Ho 0.753 0.000 5.136
Ho 5.915 2.760 3.768
Ho 4.400 0.000 2.784
Ho 2.884 -2.760 1.801
Ho 8.046 0.000 0.432
Ho 5.915 -2.760 3.768
```

Properties
E in eV/atom: -4.49
Space group: No. 12
Density in g/cm3: 7.961

***

# Nd3Sm4Ho3

A geometry-optimized Nd3Sm4Ho3 structure (PBE, Alexandria via LeMat-Bulk).

```
10
Lattice="3.771 0.000 0.000 0.000 6.670 6.722 0.000 -6.670 6.722" Properties=species:S:1:pos:R:3 pbc="T T T"
Nd 0.000 0.000 0.000
Nd 0.000 -2.284 9.013
Nd 0.000 2.284 9.013
Sm 1.886 -1.709 2.328
Sm 1.886 1.709 2.328
Sm 1.886 0.000 7.266
Sm 1.886 0.000 10.758
Ho 0.000 0.000 4.604
Ho 1.886 -3.286 5.642
Ho 1.886 3.286 5.642
```

Properties
E in eV/atom: -4.58
Space group: No. 38
Density in g/cm3: 7.509

***

# Nd2Sm9Ho

A geometry-optimized Nd2Sm9Ho structure (PBE, Alexandria via LeMat-Bulk).

```
12
Lattice="5.129 0.000 0.000 0.000 5.129 0.000 0.000 0.000 15.383" Properties=species:S:1:pos:R:3 pbc="T T T"
Nd 0.000 0.000 2.581
Nd 0.000 0.000 12.802
Sm 0.000 2.564 0.000
Sm 0.000 2.564 5.158
Sm 0.000 2.564 10.225
Sm 2.564 0.000 0.000
Sm 2.564 0.000 5.158
Sm 2.564 0.000 10.225
Sm 2.564 2.564 2.581
Sm 2.564 2.564 7.691
Sm 2.564 2.564 12.801
Ho 0.000 0.000 7.691
```

Properties
ΔE to the lowest computed polymorph in meV per atom: 0.0
E in eV/atom: -4.70
Space group: No. 123
Density in g/cm3: 7.415

***

# Nd5SmHo2

A geometry-optimized Nd5SmHo2 structure (PBE, Alexandria via LeMat-Bulk).

```
16
Lattice="7.263 0.000 0.000 0.000 14.529 0.000 0.000 0.000 5.139" Properties=species:S:1:pos:R:3 pbc="T T T"
Nd 0.000 0.000 0.000
Nd 7.263 3.637 0.000
Nd 0.000 10.891 0.000
Nd 1.819 1.811 2.570
Nd 1.813 9.076 2.570
Nd 3.631 3.627 0.000
Nd 3.632 7.264 0.000
Nd 3.632 10.902 0.000
Nd 5.451 5.453 2.570
Nd 5.444 12.717 2.570
Sm 0.000 7.264 0.000
Sm 3.632 0.000 0.000
Ho 1.813 5.453 2.570
Ho 1.819 12.718 2.570
Ho 5.445 1.811 2.570
Ho 5.450 9.075 2.570
```

Properties
ΔE to the lowest computed polymorph in meV per atom: 0.0
E in eV/atom: -4.70
Space group: No. 55
Density in g/cm3: 7.357

***

# NdSm4Ho4

A geometry-optimized NdSm4Ho4 structure (PBE, Alexandria via LeMat-Bulk).

```
9
Lattice="-5.387 5.387 2.528 5.387 -5.387 2.528 5.387 5.387 -2.528" Properties=species:S:1:pos:R:3 pbc="T T T"
Nd 0.000 0.000 0.000
Sm 3.578 0.000 0.000
Sm 7.196 0.000 0.000
Sm 0.000 3.578 0.000
Sm 0.000 7.196 0.000
Ho 3.588 3.588 0.000
Ho 1.799 -1.799 2.528
Ho -1.799 1.799 2.528
Ho 1.799 1.799 2.528
```

Properties
E in eV/atom: -4.64
Space group: No. 139
Density in g/cm3: 7.952

***

# Nd2Sm2Ho3

A geometry-optimized Nd2Sm2Ho3 structure (PBE, Alexandria via LeMat-Bulk).

```
14
Lattice="6.232 0.000 0.000 -1.020 6.148 0.000 -2.096 -2.468 12.024" Properties=species:S:1:pos:R:3 pbc="T T T"
Nd 0.001 1.574 0.866
Nd -1.024 3.511 8.565
Nd 4.139 0.169 3.459
Nd 3.114 2.107 11.158
Sm -0.005 0.507 10.289
Sm 1.031 1.765 4.318
Sm 2.084 1.916 7.707
Sm 3.120 3.174 1.735
Ho -1.042 0.340 6.865
Ho 0.005 4.743 2.601
Ho 3.116 0.000 0.000
Ho 2.068 -1.234 6.012
Ho 3.110 -1.062 9.424
Ho 4.157 3.341 5.160
```

Properties
ΔE to the lowest computed polymorph in meV per atom: 0.0
E in eV/atom: -4.66
Space group: No. 2
Density in g/cm3: 7.814

***

# Nd4Sm3Ho2

A geometry-optimized Nd4Sm3Ho2 structure (PBE, Alexandria via LeMat-Bulk).

```
9
Lattice="3.633 0.000 0.000 -1.817 3.147 0.000 0.000 0.000 26.999" Properties=species:S:1:pos:R:3 pbc="T T T"
Nd 0.000 0.000 0.000
Nd 0.000 0.000 5.946
Nd 0.000 2.098 8.973
Nd 0.000 2.098 14.982
Sm 0.000 0.000 11.964
Sm 0.000 2.098 2.906
Sm 0.000 2.098 20.770
Ho 0.000 0.000 17.864
Ho 0.000 0.000 23.571
```

Properties
ΔE to the lowest computed polymorph in meV per atom: 51.6
E in eV/atom: -4.64
Space group: No. 156
Density in g/cm3: 7.305

***

# NdSm4Ho7

A geometry-optimized NdSm4Ho7 structure (PBE, Alexandria via LeMat-Bulk).

```
12
Lattice="6.060 -2.948 0.000 6.060 2.948 0.000 -5.976 0.000 11.233" Properties=species:S:1:pos:R:3 pbc="T T T"
Nd 0.000 0.000 0.000
Sm -1.182 0.000 7.575
Sm 3.085 0.000 2.514
Sm 3.060 0.000 8.719
Sm 7.327 0.000 3.659
Ho -1.132 0.000 3.610
Ho -2.960 0.000 10.367
Ho 1.457 0.000 5.633
Ho 6.060 0.000 0.000
Ho 4.688 0.000 5.600
Ho 9.105 0.000 0.866
Ho 7.277 0.000 7.624
```

Properties
ΔE to the lowest computed polymorph in meV per atom: 177.6
E in eV/atom: -4.38
Space group: No. 12
Density in g/cm3: 7.860